1.
! VCoI6 (PBE, relaxed); values from VASP
&SYSTEM
  ibrav = 0, nat = 8, ntyp = 3
/
ATOMIC_SPECIES
V 50.94 V.upf
Co 58.93 Co.upf
I 126.90 I.upf
ATOMIC_POSITIONS crystal
V 0.000 0.000 0.000
Co 0.000 0.000 0.500
I 0.033 0.724 0.220
I 0.244 0.244 0.351
I 0.276 0.967 0.780
I 0.724 0.033 0.220
I 0.756 0.756 0.649
I 0.967 0.276 0.780
CELL_PARAMETERS angstrom
4.557 -6.083 0.000
4.557 6.083 0.000
-1.568 0.000 6.146
! - total moment (Bohr magnetons per cell) = 2.01
! - Fermi-level density of states (states/eV/f.u.) = 4.87
! - raw total energy (eV for the cell shown) = -27.6
! - raw formation energy (meV/atom) = -259
! - space-group type = C2/m, No. 12


2.
! VCoI3 (PBE, relaxed); values from VASP
&SYSTEM
  ibrav = 0, nat = 5, ntyp = 3
/
ATOMIC_SPECIES
V 50.94 V.upf
Co 58.93 Co.upf
I 126.90 I.upf
ATOMIC_POSITIONS crystal
V 0.000 0.000 0.000
Co 0.500 0.500 0.500
I 0.000 0.000 0.500
I 0.000 0.500 0.000
I 0.500 0.000 0.000
CELL_PARAMETERS angstrom
5.550 0.000 0.000
0.000 5.550 0.000
0.000 0.000 5.550
! - total moment (Bohr magnetons per cell) = 5.58
! - Fermi-level density of states (states/eV/f.u.) = 9.42
! - raw total energy (eV for the cell shown) = -17.6
! - raw formation energy (meV/atom) = 647
! - space-group type = Pm-3m, No. 221